Material: Fe4BiF12
Method: DFT, GGA+U
State: relaxed

Calculated values
raw total energy = -5.270 eV/atom
ρ = 4216 kg/m³
volume = 260 Å³/f.u.

Cell: 6.9703 6.9703 6.9703 Å, 107.88 107.88 112.70°
Last column: nearest neighbours and their distance in Å.
Sites, in units of the cell vectors:
Fe1 0.0000 0.0000 0.5000  6 F 1.98-2.11
Fe2 0.0000 0.5000 0.0000  6 F 1.98-2.11
Fe3 0.5000 0.0000 0.0000  6 F 1.98-2.11
Fe4 0.5000 0.5000 0.5000  6 F 1.98-2.11
Bi1 0.0000 0.0000 0.0000  8 F 2.40
F1 0.0427 0.8111 0.2316  2 Fe 2.11
F2 0.1889 0.4205 0.2316  2 Fe 2.11
F3 0.1889 0.9573 0.7684  2 Fe 2.11
F4 0.2877 0.2877 0.5753  2 Fe 1.98
F5 0.2877 0.7123 0.0000  2 Fe 1.98
F6 0.4205 0.1889 0.2316  2 Fe 2.11
F7 0.5795 0.8111 0.7684  2 Fe 2.11
F8 0.7123 0.2877 0.0000  2 Fe 1.98
F9 0.7123 0.7123 0.4247  2 Fe 1.98
F10 0.8111 0.0427 0.2316  2 Fe 2.11
F11 0.8111 0.5795 0.7684  2 Fe 2.11
F12 0.9573 0.1889 0.7684  2 Fe 2.11